Model a:
A relaxed Dy9ErTm2 crystal, computed with PBE.

Lattice parameters (Å, degrees): 11.1304 11.1304 3.4673 90.00 90.00 120.00
Last column: nearest neighbours and their distance in Å.
Fractional coordinates of all 12 atoms:
Dy (0.0000, 0.5000, 0.0000)  2 Tm 3.21, 10 Dy 3.47-3.57
Dy (0.1762, 0.3524, 0.5000)  8 Dy 3.40-3.57, 2 Tm 3.49
Dy (0.1762, 0.8238, 0.5000)  8 Dy 3.40-3.57, 2 Tm 3.49
Dy (0.3524, 0.1762, 0.5000)  8 Dy 3.40-3.57, 2 Tm 3.49
Dy (0.5000, 0.0000, 0.0000)  2 Tm 3.21, 10 Dy 3.47-3.57
Dy (0.5000, 0.5000, 0.0000)  2 Tm 3.21, 10 Dy 3.47-3.57
Dy (0.6476, 0.8238, 0.5000)  8 Dy 3.40-3.57, 2 Tm 3.49
Dy (0.8238, 0.1762, 0.5000)  8 Dy 3.40-3.57, 2 Tm 3.49
Dy (0.8238, 0.6476, 0.5000)  8 Dy 3.40-3.57, 2 Tm 3.49
Er (0.0000, 0.0000, 0.0000)  2 Er 3.47, 12 Dy 3.81
Tm (0.3333, 0.6667, 0.0000)  9 Dy 3.21-3.49, 2 Tm 3.47
Tm (0.6667, 0.3333, 0.0000)  9 Dy 3.21-3.49, 2 Tm 3.47

Output
- Symmetry: P6/mmm, No. 191
- Fermi-level density of states: 18.49 states/eV/f.u.

Model b:
A relaxed Dy9ErTm2 crystal, computed with PBE.

Lattice parameters (Å, degrees): 4.9820 4.9820 14.9480 90.00 90.00 90.00
Last column: nearest neighbours and their distance in Å.
Fractional coordinates of all 12 atoms:
Dy (0.0000, 0.0000, 0.0000)  4 Er 3.52, 8 Dy 3.53
Dy (0.0000, 0.0000, 0.3336)  8 Dy 3.52, 4 Tm 3.52
Dy (0.0000, 0.0000, 0.6664)  8 Dy 3.52, 4 Tm 3.52
Dy (0.0000, 0.5000, 0.1670)  2 Tm 3.52, 8 Dy 3.52-3.53, 2 Er 3.53
Dy (0.0000, 0.5000, 0.5000)  8 Dy 3.52, 4 Tm 3.52
Dy (0.0000, 0.5000, 0.8330)  2 Tm 3.52, 8 Dy 3.52-3.53, 2 Er 3.53
Dy (0.5000, 0.0000, 0.1670)  2 Tm 3.52, 8 Dy 3.52-3.53, 2 Er 3.53
Dy (0.5000, 0.0000, 0.5000)  8 Dy 3.52, 4 Tm 3.52
Dy (0.5000, 0.0000, 0.8330)  2 Tm 3.52, 8 Dy 3.52-3.53, 2 Er 3.53
Er (0.5000, 0.5000, 0.0000)  12 Dy 3.52-3.53
Tm (0.5000, 0.5000, 0.3335)  12 Dy 3.52
Tm (0.5000, 0.5000, 0.6665)  12 Dy 3.52

Output
- Symmetry: P4/mmm, No. 123
- Fermi-level density of states: 17.62 states/eV/f.u.

model b wins, 0.031 eV/atom ahead of the next structure.

Model a:
A relaxed Dy2Er3Tm8 crystal, computed with PBE.

Lattice parameters (Å, degrees): 11.7735 11.7735 11.7735 152.92 146.87 43.29
Last column: nearest neighbours and their distance in Å.
Fractional coordinates of all 13 atoms:
Dy (0.2227, 0.2227, 0.0000)  11 Tm 3.24-3.54
Dy (0.7773, 0.7773, 0.0000)  11 Tm 3.24-3.54
Er (0.2355, 0.5000, 0.7355)  3 Er 3.16-3.28, 2 Tm 3.33
Er (0.5000, 0.0000, 0.5000)  4 Er 3.28
Er (0.7645, 0.5000, 0.2645)  3 Er 3.16-3.28, 2 Tm 3.33
Tm (0.0747, 0.0747, 0.0000)  1 Dy 3.24, 5 Tm 3.27-3.61, 4 Er 3.57
Tm (0.0865, 0.3477, 0.7388)  4 Tm 3.21-3.51, 3 Dy 3.25-3.54, 1 Er 3.33
Tm (0.3158, 0.8158, 0.5000)  4 Tm 3.34, 4 Dy 3.43-3.46
Tm (0.3910, 0.6523, 0.7388)  4 Tm 3.21-3.51, 3 Dy 3.25-3.54, 1 Er 3.33
Tm (0.6090, 0.3477, 0.2612)  4 Tm 3.21-3.51, 3 Dy 3.25-3.54, 1 Er 3.33
Tm (0.6842, 0.1842, 0.5000)  4 Tm 3.34, 4 Dy 3.43-3.46
Tm (0.9135, 0.6523, 0.2612)  4 Tm 3.21-3.51, 3 Dy 3.25-3.54, 1 Er 3.33
Tm (0.9253, 0.9253, 0.0000)  1 Dy 3.24, 5 Tm 3.27-3.61, 4 Er 3.57

Output
- Symmetry: Immm, No. 71
- Fermi-level density of states: 20.75 states/eV/f.u.

Model b:
A relaxed Dy2Er3Tm8 crystal, computed with PBE.

Lattice parameters (Å, degrees): 10.7527 10.7527 5.4931 90.00 90.00 139.36
Last column: nearest neighbours and their distance in Å.
Fractional coordinates of all 13 atoms:
Dy (0.2414, 0.7586, 0.0000)  8 Tm 3.33-3.52
Dy (0.7586, 0.2414, 0.0000)  8 Tm 3.33-3.52
Er (0.0000, 0.0000, 0.0000)  4 Tm 3.06
Er (0.2833, 0.2833, 0.5000)  3 Er 3.24-3.47, 6 Tm 3.41-3.51
Er (0.7167, 0.7167, 0.5000)  3 Er 3.24-3.47, 6 Tm 3.41-3.51
Tm (0.1325, 0.8675, 0.5000)  2 Er 3.41, 6 Tm 3.51-3.79, 2 Dy 3.52
Tm (0.1775, 0.3949, 0.0000)  1 Er 3.06, 3 Tm 3.19-3.37, 2 Dy 3.42-3.43
Tm (0.3348, 0.6652, 0.5000)  2 Dy 3.33, 4 Tm 3.37, 2 Er 3.70
Tm (0.3949, 0.1775, 0.0000)  1 Er 3.06, 3 Tm 3.19-3.37, 2 Dy 3.42-3.43
Tm (0.6051, 0.8225, 0.0000)  1 Er 3.06, 3 Tm 3.19-3.37, 2 Dy 3.42-3.43
Tm (0.6652, 0.3348, 0.5000)  2 Dy 3.33, 4 Tm 3.37, 2 Er 3.70
Tm (0.8225, 0.6051, 0.0000)  1 Er 3.06, 3 Tm 3.19-3.37, 2 Dy 3.42-3.43
Tm (0.8675, 0.1325, 0.5000)  2 Er 3.41, 6 Tm 3.51-3.79, 2 Dy 3.52

Output
- Symmetry: Cmmm, No. 65
- Fermi-level density of states: 22.53 states/eV/f.u.

model a wins, 0.082 eV/atom ahead of the next structure.

Model a:
A relaxed Dy2Er2Tm7 crystal, computed with PBE.

Lattice parameters (Å, degrees): 6.3719 6.6924 8.6770 109.73 99.00 97.72
Last column: nearest neighbours and their distance in Å.
Fractional coordinates of all 11 atoms:
Dy (0.0615, 0.2267, 0.4734)  1 Dy 3.23, 5 Tm 3.30-3.48, 2 Er 3.33-3.39
Dy (0.9385, 0.7733, 0.5266)  1 Dy 3.23, 5 Tm 3.30-3.48, 2 Er 3.33-3.39
Er (0.1497, 0.4947, 0.2128)  2 Dy 3.33-3.39, 7 Tm 3.36-3.63
Er (0.8503, 0.5053, 0.7872)  2 Dy 3.33-3.39, 7 Tm 3.36-3.63
Tm (0.1906, 0.9322, 0.1024)  7 Tm 3.20-3.55, 2 Er 3.37-3.40, 1 Dy 3.45
Tm (0.3220, 0.2461, 0.8631)  2 Er 3.36-3.75, 8 Tm 3.42-3.62, 2 Dy 3.48-3.74
Tm (0.3781, 0.6954, 0.7359)  6 Tm 3.21-3.56, 2 Dy 3.30-3.34, 2 Er 3.44-3.58
Tm (0.5000, 0.0000, 0.5000)  4 Dy 3.37-3.77, 6 Tm 3.44-3.55, 2 Er 3.63
Tm (0.6219, 0.3046, 0.2641)  6 Tm 3.21-3.56, 2 Dy 3.30-3.34, 2 Er 3.44-3.58
Tm (0.6780, 0.7539, 0.1369)  2 Er 3.36-3.75, 8 Tm 3.42-3.62, 2 Dy 3.48-3.74
Tm (0.8094, 0.0678, 0.8976)  7 Tm 3.20-3.55, 2 Er 3.37-3.40, 1 Dy 3.45

Output
- Symmetry: P-1, No. 2
- Fermi-level density of states: 18.14 states/eV/f.u.

Model b:
A relaxed Dy2Er2Tm7 crystal, computed with PBE.

Lattice parameters (Å, degrees): 6.3900 6.3900 8.5102 97.67 97.67 92.80
Last column: nearest neighbours and their distance in Å.
Fractional coordinates of all 11 atoms:
Dy (0.1776, 0.8224, 0.0000)  1 Dy 3.29, 8 Tm 3.31-3.54, 2 Er 3.41
Dy (0.8224, 0.1776, 0.0000)  1 Dy 3.29, 8 Tm 3.31-3.54, 2 Er 3.41
Er (0.1030, 0.1030, 0.3563)  1 Er 3.32, 8 Tm 3.35-3.48, 2 Dy 3.41
Er (0.8970, 0.8970, 0.6437)  1 Er 3.32, 8 Tm 3.35-3.48, 2 Dy 3.41
Tm (0.0550, 0.4200, 0.7092)  2 Dy 3.31-3.54, 3 Er 3.35-3.45, 4 Tm 3.38-3.64
Tm (0.3482, 0.3482, 0.0930)  6 Tm 3.36-3.64, 1 Er 3.40, 4 Dy 3.42-3.44
Tm (0.4200, 0.0550, 0.7092)  2 Dy 3.31-3.54, 3 Er 3.35-3.45, 4 Tm 3.38-3.64
Tm (0.5000, 0.5000, 0.5000)  10 Tm 3.46-3.84, 2 Er 3.48
Tm (0.5800, 0.9450, 0.2908)  2 Dy 3.31-3.54, 3 Er 3.35-3.45, 4 Tm 3.38-3.64
Tm (0.6518, 0.6518, 0.9070)  6 Tm 3.36-3.64, 1 Er 3.40, 4 Dy 3.42-3.44
Tm (0.9450, 0.5800, 0.2908)  2 Dy 3.31-3.54, 3 Er 3.35-3.45, 4 Tm 3.38-3.64

Output
- Symmetry: C2/m, No. 12
- Fermi-level density of states: 17.38 states/eV/f.u.

model a wins, 0.025 eV/atom ahead of the next structure.

Model a:
A relaxed Dy5ErTm crystal, computed with PBE.

Lattice parameters (Å, degrees): 6.6937 6.6937 12.1562 108.06 108.06 59.70
Last column: nearest neighbours and their distance in Å.
Fractional coordinates of all 14 atoms:
Dy (0.0834, 0.3537, 0.7432)  2 Dy 2.95-3.26, 1 Tm 3.20
Dy (0.0833, 0.9167, 0.7500)  2 Dy 2.95, 1 Er 2.97
Dy (0.1582, 0.6818, 0.9979)  3 Dy 3.26-3.61, 1 Er 3.26
Dy (0.3182, 0.8418, 0.5021)  3 Dy 3.26-3.61, 1 Er 3.26
Dy (0.3537, 0.0834, 0.2432)  2 Dy 2.95-3.26, 1 Tm 3.20
Dy (0.6463, 0.9166, 0.7568)  2 Dy 2.95-3.26, 1 Tm 3.20
Dy (0.6818, 0.1582, 0.4979)  3 Dy 3.26-3.61, 1 Er 3.26
Dy (0.8418, 0.3182, 0.0021)  3 Dy 3.26-3.61, 1 Er 3.26
Dy (0.9167, 0.0833, 0.2500)  2 Dy 2.95, 1 Er 2.97
Dy (0.9166, 0.6463, 0.2568)  2 Dy 2.95-3.26, 1 Tm 3.20
Er (0.4707, 0.5293, 0.2500)  3 Dy 2.97-3.26
Er (0.5293, 0.4707, 0.7500)  3 Dy 2.97-3.26
Tm (0.0000, 0.5000, 0.5000)  4 Dy 3.20-3.55
Tm (0.5000, 0.0000, 0.0000)  4 Dy 3.20-3.55

Output
- Symmetry: C2/c, No. 15
- Fermi-level density of states: 7.90 states/eV/f.u.

Model b:
A relaxed Dy5ErTm crystal, computed with PBE.

Lattice parameters (Å, degrees): 7.8806 7.8806 7.8806 137.28 113.95 81.92
Last column: nearest neighbours and their distance in Å.
Fractional coordinates of all 7 atoms:
Dy (0.0000, 0.0000, 0.0000)  2 Er 2.87
Dy (0.2453, 0.7453, 0.5000)  1 Er 2.92, 1 Tm 3.03
Dy (0.3227, 0.5000, 0.8227)  1 Er 2.77, 1 Dy 3.05
Dy (0.6773, 0.5000, 0.1773)  1 Er 2.77, 1 Dy 3.05
Dy (0.7547, 0.2547, 0.5000)  1 Er 2.92, 1 Tm 3.03
Er (0.0000, 0.5000, 0.5000)  6 Dy 2.77-2.92
Tm (0.5000, 0.0000, 0.5000)  6 Dy 3.03-3.25

Output
- Symmetry: Immm, No. 71
- Fermi-level density of states: 7.74 states/eV/f.u.

model a wins, 0.913 eV/atom ahead of the next structure.

Model a:
A relaxed Dy4Er7Tm crystal, computed with PBE.

Lattice parameters (Å, degrees): 6.4267 6.7137 8.9292 85.54 76.81 81.77
Last column: nearest neighbours and their distance in Å.
Fractional coordinates of all 12 atoms:
Dy (0.1395, 0.3071, 0.2849)  8 Er 3.26-3.64, 1 Tm 3.34, 2 Dy 3.45-3.46
Dy (0.3395, 0.8827, 0.6905)  7 Er 3.35-3.62, 2 Dy 3.45-3.46
Dy (0.6605, 0.1173, 0.3095)  7 Er 3.35-3.62, 2 Dy 3.45-3.46
Dy (0.8605, 0.6929, 0.7151)  8 Er 3.26-3.64, 1 Tm 3.34, 2 Dy 3.45-3.46
Er (0.0132, 0.2520, 0.9494)  5 Er 3.31-3.49, 4 Dy 3.34-3.64, 1 Tm 3.42
Er (0.1844, 0.7980, 0.3583)  5 Er 3.34-3.65, 4 Dy 3.41-3.47
Er (0.3098, 0.3932, 0.6141)  5 Er 3.23-3.54, 5 Dy 3.26-3.56
Er (0.5000, 0.0000, 0.0000)  4 Dy 3.35-3.58, 2 Tm 3.36, 4 Er 3.44-3.65
Er (0.6902, 0.6068, 0.3859)  5 Er 3.23-3.54, 5 Dy 3.26-3.56
Er (0.8156, 0.2020, 0.6417)  5 Er 3.34-3.65, 4 Dy 3.41-3.47
Er (0.9868, 0.7480, 0.0506)  5 Er 3.31-3.49, 4 Dy 3.34-3.64, 1 Tm 3.42
Tm (0.5000, 0.5000, 0.0000)  2 Dy 3.34, 4 Er 3.36-3.42

Output
- Symmetry: P-1, No. 2
- Fermi-level density of states: 20.04 states/eV/f.u.

Model b:
A relaxed Dy4Er7Tm crystal, computed with PBE.

Lattice parameters (Å, degrees): 6.6337 6.6337 12.5512 115.25 115.25 51.81
Last column: nearest neighbours and their distance in Å.
Fractional coordinates of all 12 atoms:
Dy (0.0598, 0.0598, 0.3235)  4 Er 3.24-3.51, 2 Dy 3.56
Dy (0.3637, 0.3637, 0.2245)  7 Er 3.31-3.60, 2 Dy 3.56
Dy (0.6363, 0.6363, 0.7755)  7 Er 3.31-3.60, 2 Dy 3.56
Dy (0.9402, 0.9402, 0.6765)  4 Er 3.24-3.51, 2 Dy 3.56
Er (0.0000, 0.0000, 0.0000)  2 Tm 2.90, 2 Er 3.10
Er (0.2126, 0.2126, 0.9246)  1 Tm 3.10, 4 Er 3.10-3.34, 4 Dy 3.27-3.33
Er (0.2483, 0.2483, 0.6840)  4 Er 3.24-3.54, 2 Dy 3.60
Er (0.3650, 0.3650, 0.4980)  4 Er 3.20-3.54, 5 Dy 3.24-3.51
Er (0.6350, 0.6350, 0.5020)  4 Er 3.20-3.54, 5 Dy 3.24-3.51
Er (0.7517, 0.7517, 0.3160)  4 Er 3.24-3.54, 2 Dy 3.60
Er (0.7874, 0.7874, 0.0754)  1 Tm 3.10, 4 Er 3.10-3.34, 4 Dy 3.27-3.33
Tm (0.5000, 0.5000, 0.0000)  4 Er 2.90-3.10

Output
- Symmetry: C2/m, No. 12
- Fermi-level density of states: 20.37 states/eV/f.u.

model a wins, 0.209 eV/atom ahead of the next structure.

Model a:
A relaxed Dy3ErTm5 crystal, computed with PBE.

Lattice parameters (Å, degrees): 9.3675 9.3675 9.8649 121.49 121.49 73.31
Last column: nearest neighbours and their distance in Å.
Fractional coordinates of all 18 atoms:
Dy (0.0000, 0.0000, 0.0000)  2 Dy 2.97, 2 Er 3.18
Dy (0.0102, 0.0102, 0.3109)  1 Dy 2.97, 5 Tm 3.16-3.32
Dy (0.4769, 0.4769, 0.1341)  2 Dy 3.14-3.39, 4 Tm 3.20-3.50, 1 Er 3.23
Dy (0.5000, 0.5000, 0.5000)  4 Tm 2.92-3.12, 2 Er 3.21
Dy (0.5231, 0.5231, 0.8659)  2 Dy 3.14-3.39, 4 Tm 3.20-3.50, 1 Er 3.23
Dy (0.9898, 0.9898, 0.6891)  1 Dy 2.97, 5 Tm 3.16-3.32
Er (0.2492, 0.2492, 0.1033)  4 Dy 3.18-3.34, 2 Tm 3.30-3.41
Er (0.7508, 0.7508, 0.8967)  4 Dy 3.18-3.34, 2 Tm 3.30-3.41
Tm (0.0958, 0.5977, 0.7499)  3 Tm 3.26-3.61, 2 Dy 3.43-3.50
Tm (0.2186, 0.2186, 0.7290)  3 Dy 3.16-3.29, 3 Tm 3.26-3.33, 1 Er 3.41
Tm (0.2389, 0.7611, 0.5000)  1 Dy 2.92
Tm (0.2786, 0.2786, 0.4655)  3 Dy 3.12-3.25, 3 Tm 3.26, 1 Er 3.30
Tm (0.4023, 0.9042, 0.2501)  3 Tm 3.26-3.61, 2 Dy 3.43-3.50
Tm (0.5977, 0.0958, 0.7499)  3 Tm 3.26-3.61, 2 Dy 3.43-3.50
Tm (0.7214, 0.7214, 0.5345)  3 Dy 3.12-3.25, 3 Tm 3.26, 1 Er 3.30
Tm (0.7611, 0.2389, 0.5000)  1 Dy 2.92
Tm (0.7814, 0.7814, 0.2710)  3 Dy 3.16-3.29, 3 Tm 3.26-3.33, 1 Er 3.41
Tm (0.9042, 0.4023, 0.2501)  3 Tm 3.26-3.61, 2 Dy 3.43-3.50

Output
- Symmetry: C2/m, No. 12
- Fermi-level density of states: 11.71 states/eV/f.u.

Model b:
A relaxed Dy3ErTm5 crystal, computed with PBE.

Lattice parameters (Å, degrees): 9.7189 9.7189 7.1377 90.00 90.00 55.86
Last column: nearest neighbours and their distance in Å.
Fractional coordinates of all 18 atoms:
Dy (0.0000, 0.0000, 0.0000)  2 Er 3.29, 2 Dy 3.57, 2 Tm 3.57
Dy (0.0000, 0.0000, 0.5000)  2 Er 3.29, 2 Dy 3.57, 2 Tm 3.57
Dy (0.1900, 0.1909, 0.2500)  8 Tm 3.43-3.53, 4 Dy 3.57-3.73
Dy (0.1909, 0.1900, 0.7500)  8 Tm 3.43-3.53, 4 Dy 3.57-3.73
Dy (0.8091, 0.8100, 0.2500)  8 Tm 3.43-3.53, 4 Dy 3.57-3.73
Dy (0.8100, 0.8091, 0.7500)  8 Tm 3.43-3.53, 4 Dy 3.57-3.73
Er (0.3032, 0.6968, 0.7500)  7 Tm 3.25-3.58, 2 Dy 3.29
Er (0.6968, 0.3032, 0.2500)  7 Tm 3.25-3.58, 2 Dy 3.29
Tm (0.1563, 0.5215, 0.5008)  5 Tm 3.29-3.58, 1 Er 3.29, 4 Dy 3.43-3.53
Tm (0.1563, 0.5215, 0.9992)  5 Tm 3.29-3.58, 1 Er 3.29, 4 Dy 3.43-3.53
Tm (0.3395, 0.6605, 0.2500)  3 Er 3.25-3.58, 4 Tm 3.30, 2 Dy 3.57
Tm (0.4785, 0.8437, 0.5008)  5 Tm 3.29-3.58, 1 Er 3.29, 4 Dy 3.43-3.53
Tm (0.4785, 0.8437, 0.9992)  5 Tm 3.29-3.58, 1 Er 3.29, 4 Dy 3.43-3.53
Tm (0.5215, 0.1563, 0.0008)  5 Tm 3.29-3.58, 1 Er 3.29, 4 Dy 3.43-3.53
Tm (0.5215, 0.1563, 0.4992)  5 Tm 3.29-3.58, 1 Er 3.29, 4 Dy 3.43-3.53
Tm (0.6605, 0.3395, 0.7500)  3 Er 3.25-3.58, 4 Tm 3.30, 2 Dy 3.57
Tm (0.8437, 0.4785, 0.0008)  5 Tm 3.29-3.58, 1 Er 3.29, 4 Dy 3.43-3.53
Tm (0.8437, 0.4785, 0.4992)  5 Tm 3.29-3.58, 1 Er 3.29, 4 Dy 3.43-3.53

Output
- Symmetry: Cmcm, No. 63
- Fermi-level density of states: 11.64 states/eV/f.u.

model b wins, 0.407 eV/atom ahead of the next structure.